## K3MoI2F6 (PBE with a Hubbard U)

Data for a geometry-optimized K3MoI2F6 structure.

Values from the calculation:
* calculated total energy: -4.29 eV/atom

Cell and atoms, written as POSCAR:
```
K3MoI2F6
1.0
7.763 -3.387 0.000
7.763 3.387 0.000
-0.072 0.000 6.419
K Mo I F
3 1 2 6
direct
0.000 0.000 0.000 K
0.000 0.500 0.500 K
0.500 0.000 0.500 K
0.500 0.500 0.500 Mo
0.241 0.241 0.004 I
0.759 0.759 0.996 I
0.278 0.700 0.287 F
0.300 0.722 0.713 F
0.368 0.368 0.530 F
0.632 0.632 0.470 F
0.700 0.278 0.287 F
0.722 0.300 0.713 F
```